# 1
Density functional theory data (PBE) for an optimized crystal structure of Y3Te5Ir.

Results
The uncorrected energy is -51.14 eV for the cell shown. The calculation puts the magnetic moment at 0.007 μB per cell.

Lattice parameters (Å, degrees): 8.6303 8.6303 3.7998 90.00 90.00 120.00
Space group P-62m (No. 189)
Asymmetric unit:
Y: 0.0000 0.6443 0.0000 [3 per cell]
Te: 0.0000 0.2315 0.5000 [3 per cell]
Te: 0.3333 0.6667 0.5000 [2 per cell]
Ir: 0.0000 0.0000 0.0000 [1 per cell]

---

# 2
Density functional theory data (PBE) for an optimized crystal structure of Li3ThGe2.

Results
The uncorrected energy is -101.64 eV for the cell shown. The calculation puts the magnetic moment at 0.004 μB per cell.

Lattice parameters (Å, degrees): 15.3995 4.2773 7.7248 90.00 116.32 90.00
Space group C2/m (No. 12)
Asymmetric unit:
Li: 0.0465 0.0000 0.3810 [4 per cell]
Li: 0.1041 0.5000 0.6906 [4 per cell]
Li: 0.1899 0.5000 0.4628 [4 per cell]
Th: 0.1431 0.0000 0.0571 [4 per cell]
Ge: 0.0181 0.5000 0.1731 [4 per cell]
Ge: 0.2014 0.0000 0.7226 [4 per cell]

---

# 3
Density functional theory data (PBE) for an optimized crystal structure of PaB2O6.

Results
The uncorrected energy is -290.20 eV for the cell shown. The calculation puts the magnetic moment at 0.106 μB per cell.

Lattice parameters (Å, degrees): 9.7017 9.1464 4.8053 90.00 107.93 90.00
Space group C2/c (No. 15)
Asymmetric unit:
Pa: 0.0000 0.1509 0.2500 [4 per cell]
B: 0.2088 0.4333 0.2155 [8 per cell]
O: 0.1272 0.0615 0.6789 [8 per cell]
O: 0.1503 0.4915 0.4409 [8 per cell]
O: 0.1613 0.2817 0.1743 [8 per cell]

---

# 4
Density functional theory data (PBE) for an optimized crystal structure of CuBiPb2.

Results
The uncorrected energy is -55.79 eV for the cell shown.

Lattice parameters (Å, degrees): 7.5850 7.5850 7.5850 90.00 90.00 90.00
Space group F-43m (No. 216)
Asymmetric unit:
Cu: 0.0000 0.0000 0.0000 [4 per cell]
Bi: 0.2500 0.2500 0.7500 [4 per cell]
Pb: 0.0000 0.0000 0.5000 [4 per cell]
Pb: 0.2500 0.2500 0.2500 [4 per cell]

---

# 5
Density functional theory data (PBE) for an optimized crystal structure of Al2Re3B.

Results
The uncorrected energy is -797.86 eV for the cell shown. The calculation puts the magnetic moment at 0.056 μB per cell.

Lattice parameters (Å, degrees): 10.7293 10.7293 10.7293 90.00 90.00 90.00
Space group Fd-3m (No. 227, origin choice 2)
Asymmetric unit:
Al: 0.0393 0.0393 0.2107 [32 per cell]
Re: 0.0667 0.3750 0.8750 [48 per cell]
B: 0.0000 0.0000 0.0000 [16 per cell]

---

# 6
Density functional theory data (PBE) for an optimized crystal structure of PdC2.

Results
The uncorrected energy is -120.97 eV for the cell shown.

Lattice parameters (Å, degrees): 6.1822 6.1822 6.1822 90.00 90.00 90.00
Space group Fd-3m (No. 227, origin choice 2)
Asymmetric unit:
Pd: 0.1250 0.1250 0.1250 [8 per cell]
C: 0.0000 0.0000 0.5000 [16 per cell]

---

# 7
Density functional theory data (PBE) for an optimized crystal structure of TaCdGe2.

Results
The uncorrected energy is -77.75 eV for the cell shown. The calculation puts the magnetic moment at 3.774 μB per cell.

Lattice parameters (Å, degrees): 6.7305 6.7305 6.7305 90.00 90.00 90.00
Space group F-43m (No. 216)
Asymmetric unit:
Ta: 0.0000 0.0000 0.0000 [4 per cell]
Cd: 0.2500 0.2500 0.2500 [4 per cell]
Ge: 0.0000 0.0000 0.5000 [4 per cell]
Ge: 0.2500 0.2500 0.7500 [4 per cell]

---

# 8
Density functional theory data (PBE) for an optimized crystal structure of Zr3BiH.

Results
The uncorrected energy is -34.71 eV for the cell shown. The calculation puts the magnetic moment at 0.057 μB per cell.

Lattice parameters (Å, degrees): 4.5255 4.5255 4.5255 90.00 90.00 90.00
Space group Pm-3m (No. 221)
Asymmetric unit:
Zr: 0.0000 0.0000 0.5000 [3 per cell]
Bi: 0.5000 0.5000 0.5000 [1 per cell]
H: 0.0000 0.0000 0.0000 [1 per cell]